Record 1
Here is an optimized crystal structure of PuBiSb from Alexandria via LeMat-Bulk. Energies are from GGA-PBE.

energy above the most stable polymorph in this dataset	176.6	meV per atom

Cell lengths 4.0399, 4.0399, 10.3888 Å; angles 90.00, 90.00, 90.00 degrees
Space group I4mm (No. 107)
Asymmetric unit:
Pu  0.0000  0.0000  0.0000 [2 per cell]
Bi  0.0000  0.0000  0.3314 [2 per cell]
Sb  0.0000  0.0000  0.6498 [2 per cell]

Record 2
Here is an optimized crystal structure of PuBiSb2 from Alexandria via LeMat-Bulk. Energies are from GGA-PBE.

energy above the most stable polymorph in this dataset	0.0	meV per atom

Cell lengths 5.0256, 5.0256, 4.4040 Å; angles 90.00, 90.00, 90.00 degrees
Space group P4/mmm (No. 123)
Asymmetric unit:
Pu  0.0000  0.0000  0.0000 [1 per cell]
Bi  0.5000  0.5000  0.0000 [1 per cell]
Sb  0.0000  0.5000  0.5000 [2 per cell]

Record 3
Here is an optimized crystal structure of PuBiSb from Alexandria via LeMat-Bulk. Energies are from GGA-PBE.

energy above the most stable polymorph in this dataset	263.0	meV per atom

Cell lengths 5.5836, 5.5836, 3.1939 Å; angles 90.00, 90.00, 120.00 degrees
Space group P3m1 (No. 156)
Asymmetric unit:
Pu  0.0000  0.0000  0.0000 [1 per cell]
Bi  0.3333  0.6667  0.4997 [1 per cell]
Sb  0.6667  0.3333  0.5027 [1 per cell]

Record 4
Here is an optimized crystal structure of Pu3Bi3Sb2 from Alexandria via LeMat-Bulk. Energies are from GGA-PBE.

Cell lengths 9.1562, 9.1562, 6.2785 Å; angles 90.00, 90.00, 120.00 degrees
Space group P6_3/mcm (No. 193)
Asymmetric unit:
Pu  0.0000  0.3990  0.2500 [6 per cell]
Bi  0.0000  0.2264  0.7500 [6 per cell]
Sb  0.3333  0.6667  0.0000 [4 per cell]

Record 5
Here is an optimized crystal structure of PuBiSb from Alexandria via LeMat-Bulk. Energies are from GGA-PBE.

energy above the most stable polymorph in this dataset	0.0	meV per atom

Cell lengths 4.5552, 16.3044, 4.5452 Å; angles 90.00, 90.00, 90.00 degrees
Space group Cmcm (No. 63)
Asymmetric unit:
Pu  0.0000  0.0919  0.2500 [4 per cell]
Bi  0.0000  0.2522  0.7500 [4 per cell]
Sb  0.0000  0.4336  0.2500 [4 per cell]

Record 6
Here is an optimized crystal structure of PuBi2Sb from Alexandria via LeMat-Bulk. Energies are from GGA-PBE.

energy above the most stable polymorph in this dataset	0.0	meV per atom

Cell lengths 4.7455, 4.7455, 5.1441 Å; angles 90.00, 90.00, 90.00 degrees
Space group P4/mmm (No. 123)
Asymmetric unit:
Pu  0.0000  0.0000  0.0000 [1 per cell]
Bi  0.0000  0.5000  0.5000 [2 per cell]
Sb  0.5000  0.5000  0.0000 [1 per cell]

Record 7
Here is an optimized crystal structure of PuBi2Sb from Alexandria via LeMat-Bulk. Energies are from GGA-PBE.

energy above the most stable polymorph in this dataset	120.7	meV per atom

Cell lengths 4.3425, 4.3425, 6.3094 Å; angles 90.00, 90.00, 90.00 degrees
Space group P4/mmm (No. 123)
Asymmetric unit:
Pu  0.0000  0.0000  0.0000 [1 per cell]
Bi  0.5000  0.5000  0.2453 [2 per cell]
Sb  0.0000  0.0000  0.5000 [1 per cell]

Record 8
Here is an optimized crystal structure of Pu4BiSb2 from Alexandria via LeMat-Bulk. Energies are from GGA-PBE.

Cell lengths 9.3346, 9.3346, 9.3925 Å; angles 90.00, 90.00, 90.00 degrees
Space group I-42d (No. 122)
Asymmetric unit:
Pu  0.0793  0.6686  0.4476 [16 per cell]
Bi  0.0000  0.0000  0.5000 [4 per cell]
Sb  0.1287  0.7500  0.1250 [8 per cell]

Energy relative to the elements, uncorrected in eV/atom, matching the order above: -0.26; -0.30; -0.17; -0.37; -0.43; -0.27; -0.14; -0.56
Calculated total energy in eV/cell, matching the order above: -46.2; -27.7; -22.8; -131.7; -94.5; -27.3; -26.8; -293.6